1.
Ag2H2Br3 after structural relaxation. Source: Alexandria, functional PBE-GGA.

Cell and atoms, written as CIF:
```
data_Ag2H2Br3
_space_group_name_H-M_alt 'P -1'
_space_group_IT_number 2
_space_group_name_Hall '-P 1'
_cell_length_a 5.130
_cell_length_b 5.163
_cell_length_c 7.542
_cell_angle_alpha 70.09
_cell_angle_beta 78.97
_cell_angle_gamma 89.98
loop_
_atom_site_label
_atom_site_type_symbol
_atom_site_fract_x
_atom_site_fract_y
_atom_site_fract_z
Ag1 Ag 0.242 0.058 0.384
H1 H 0.143 0.896 0.707
Br1 Br 0.000 0.500 0.500
Br2 Br 0.301 0.813 0.875
```


2.
Ag2H2Br after structural relaxation. Source: Alexandria, functional PBE-GGA.

Cell and atoms, written as CIF:
```
data_Ag2H2Br
_space_group_name_H-M_alt 'I 4/m m m'
_space_group_IT_number 139
_space_group_name_Hall '-I 4 2'
_cell_length_a 3.621
_cell_length_b 3.621
_cell_length_c 11.429
_cell_angle_alpha 90.00
_cell_angle_beta 90.00
_cell_angle_gamma 90.00
loop_
_atom_site_label
_atom_site_type_symbol
_atom_site_fract_x
_atom_site_fract_y
_atom_site_fract_z
Ag1 Ag 0.000 0.000 0.181
H1 H 0.000 0.500 0.250
Br1 Br 0.000 0.000 0.500
```


3.
AgH2Br after structural relaxation. Source: Alexandria, functional PBE-GGA.

Cell and atoms, written as CIF:
```
data_AgH2Br
_space_group_name_H-M_alt 'C 1 m 1'
_space_group_IT_number 8
_space_group_name_Hall 'C -2y'
_cell_length_a 7.338
_cell_length_b 7.489
_cell_length_c 3.509
_cell_angle_alpha 90.00
_cell_angle_beta 97.16
_cell_angle_gamma 90.00
loop_
_atom_site_label
_atom_site_type_symbol
_atom_site_fract_x
_atom_site_fract_y
_atom_site_fract_z
Ag1 Ag 0.000 0.000 0.000
H1 H 0.117 0.500 0.345
H2 H 0.492 0.500 0.498
Br1 Br 0.491 0.000 0.993
```


4.
AgH2Br2 after structural relaxation. Source: Alexandria, functional PBE-GGA.

Cell and atoms, written as CIF:
```
data_AgH2Br2
_space_group_name_H-M_alt 'P -1'
_space_group_IT_number 2
_space_group_name_Hall '-P 1'
_cell_length_a 4.286
_cell_length_b 7.107
_cell_length_c 8.455
_cell_angle_alpha 69.96
_cell_angle_beta 80.98
_cell_angle_gamma 87.48
loop_
_atom_site_label
_atom_site_type_symbol
_atom_site_fract_x
_atom_site_fract_y
_atom_site_fract_z
Ag1 Ag 0.046 0.014 0.156
H1 H 0.119 0.866 0.028
H2 H 0.213 0.739 0.576
Br1 Br 0.028 0.657 0.765
Br2 Br 0.433 0.800 0.354
```


5.
Ag3HBr6 after structural relaxation. Source: Alexandria, functional PBE-GGA.

Cell and atoms, written as CIF:
```
data_Ag3HBr6
_space_group_name_H-M_alt 'C m c 21'
_space_group_IT_number 36
_space_group_name_Hall 'C 2c -2'
_cell_length_a 10.972
_cell_length_b 14.493
_cell_length_c 8.542
_cell_angle_alpha 90.00
_cell_angle_beta 90.00
_cell_angle_gamma 90.00
loop_
_atom_site_label
_atom_site_type_symbol
_atom_site_fract_x
_atom_site_fract_y
_atom_site_fract_z
Ag1 Ag 0.000 0.109 0.000
Ag2 Ag 0.183 0.425 0.652
H1 H 0.000 0.248 0.396
Br1 Br 0.000 0.257 0.565
Br2 Br 0.000 0.470 0.194
Br3 Br 0.161 0.210 0.134
Br4 Br 0.170 0.016 0.867
```


6.
AgHBr after structural relaxation. Source: Alexandria, functional PBE-GGA.

Cell and atoms, written as CIF:
```
data_AgHBr
_space_group_name_H-M_alt 'P m m a'
_space_group_IT_number 51
_space_group_name_Hall '-P 2a 2a'
_cell_length_a 5.617
_cell_length_b 3.554
_cell_length_c 5.625
_cell_angle_alpha 90.00
_cell_angle_beta 90.00
_cell_angle_gamma 90.00
loop_
_atom_site_label
_atom_site_type_symbol
_atom_site_fract_x
_atom_site_fract_y
_atom_site_fract_z
Ag1 Ag 0.250 0.000 0.250
H1 H 0.250 0.500 0.249
Br1 Br 0.250 0.000 0.750
```


The following total energy values (in eV per cell) correspond, in order, to the records above: -17.5; -26.1; -21.2; -27.0; -96.1; -15.0.
The following D(E_F) values (in states/eV per cell) correspond, in order, to the records above: 0.739; 1.550; 0.000; 0.000; 3.170; 2.406.